Entry 1:
DFT (PBE) results for a geometry-optimized Ni2Ir2Pt structure.

```
Ni2Ir2Pt
1.0
7.113 0.000 0.000
0.000 7.113 0.000
0.000 0.000 2.714
Ni Ir Pt
4 4 2
direct
0.120 0.380 0.000
0.380 0.880 0.000
0.620 0.120 0.000
0.880 0.620 0.000
0.176 0.676 0.500
0.324 0.176 0.500
0.676 0.824 0.500
0.824 0.324 0.500
0.000 0.000 0.000
0.500 0.500 0.000
```

Properties
As for the total magnetization: 3.72 Bohr magnetons per cell. The energy above the lowest structure with this stoichiometry comes out at 0.22 kcal/mol of atoms. The calculated formation energy is 5.46 kcal/mol of atoms.

Entry 2:
DFT (PBE) results for a geometry-optimized Ni2IrPt structure.

```
Ni2IrPt
1.0
2.679 0.000 0.000
0.000 4.409 0.000
0.000 0.000 4.600
Ni Ir Pt
2 1 1
direct
0.000 0.000 0.000
0.500 0.000 0.500
0.000 0.500 0.500
0.500 0.500 0.000
```

Properties
As for the total magnetization: 1.58 Bohr magnetons per cell. The energy above the lowest structure with this stoichiometry comes out at 4.38 kcal/mol of atoms. The calculated formation energy is 3.46 kcal/mol of atoms.

Entry 3:
DFT (PBE) results for a geometry-optimized Ni2IrPt structure.

```
Ni2IrPt
1.0
1.352 0.781 8.360
-1.352 0.781 8.360
0.000 -1.562 8.360
Ni Ir Pt
2 1 1
direct
0.000 0.000 0.000
0.162 0.162 0.162
0.414 0.414 0.414
0.581 0.581 0.581
```

Properties
As for the total magnetization: 0.02 Bohr magnetons per cell. The energy above the lowest structure with this stoichiometry comes out at 0.95 kcal/mol of atoms. The calculated formation energy is 0.03 kcal/mol of atoms.

Entry 4:
DFT (PBE) results for a geometry-optimized NiIr2Pt structure.

```
NiIr2Pt
1.0
2.738 0.000 0.000
0.000 3.774 0.000
0.000 0.000 5.430
Ni Ir Pt
1 2 1
direct
0.000 0.000 0.000
0.000 0.000 0.519
0.500 0.500 0.754
0.500 0.500 0.245
```

Properties
As for the total magnetization: 0.00 Bohr magnetons per cell. The energy above the lowest structure with this stoichiometry comes out at 0.13 kcal/mol of atoms. The calculated formation energy is -0.03 kcal/mol of atoms.

Entry 5:
DFT (PBE) results for a geometry-optimized Ni6IrPt2 structure.

```
Ni6IrPt2
1.0
3.820 -2.430 0.000
3.820 2.430 0.000
-1.734 0.000 6.253
Ni Ir Pt
6 1 2
direct
0.199 0.717 0.813
0.257 0.257 0.013
0.283 0.801 0.187
0.717 0.199 0.813
0.743 0.743 0.987
0.801 0.283 0.187
0.500 0.500 0.500
0.177 0.177 0.584
0.823 0.823 0.416
```

Properties
As for the total magnetization: 4.88 Bohr magnetons per cell. The energy above the lowest structure with this stoichiometry comes out at 2.32 kcal/mol of atoms. The calculated formation energy is 3.20 kcal/mol of atoms.

Entry 6:
DFT (PBE) results for a geometry-optimized Ni4IrPt structure.

```
Ni4IrPt
1.0
-2.045 2.593 3.549
2.045 -2.593 3.549
2.045 2.593 -3.549
Ni Ir Pt
4 1 1
direct
0.083 0.834 0.249
0.416 0.166 0.249
0.584 0.834 0.751
0.917 0.166 0.751
0.000 0.500 0.500
0.500 0.500 0.000
```

Properties
As for the total magnetization: 4.10 Bohr magnetons per cell. The energy above the lowest structure with this stoichiometry comes out at 0.00 kcal/mol of atoms. The calculated formation energy is 1.53 kcal/mol of atoms.

Entry 7:
DFT (PBE) results for a geometry-optimized Ni9IrPt2 structure.

```
Ni9IrPt2
1.0
3.640 0.000 0.000
0.000 3.640 0.000
0.000 0.000 10.915
Ni Ir Pt
9 1 2
direct
0.000 0.000 0.000
0.000 0.000 0.332
0.000 0.000 0.668
0.000 0.500 0.164
0.000 0.500 0.500
0.000 0.500 0.836
0.500 0.000 0.164
0.500 0.000 0.500
0.500 0.000 0.836
0.500 0.500 0.000
0.500 0.500 0.333
0.500 0.500 0.667
```

Properties
As for the total magnetization: 6.79 Bohr magnetons per cell. The calculated formation energy is -0.73 kcal/mol of atoms.

Entry 8:
DFT (PBE) results for a geometry-optimized Ni14IrPt structure.

```
Ni14IrPt
1.0
8.257 0.000 0.000
0.000 2.570 4.364
0.000 -2.570 4.364
Ni Ir Pt
14 1 1
direct
0.000 0.000 0.000
0.000 0.000 0.499
0.000 0.499 0.000
0.000 0.500 0.500
0.242 0.172 0.667
0.242 0.667 0.172
0.242 0.667 0.667
0.245 0.168 0.168
0.500 0.337 0.838
0.500 0.838 0.337
0.755 0.168 0.168
0.758 0.172 0.667
0.758 0.667 0.172
0.758 0.667 0.667
0.500 0.338 0.338
0.500 0.838 0.838
```

Properties
As for the total magnetization: 9.83 Bohr magnetons per cell. The calculated formation energy is 0.47 kcal/mol of atoms.

Entry 9:
DFT (PBE) results for a geometry-optimized Ni2IrPt3 structure.

```
Ni2IrPt3
1.0
1.932 -5.801 0.000
1.932 5.801 0.000
0.000 0.000 7.494
Ni Ir Pt
4 2 6
direct
0.000 0.000 0.000
0.000 0.000 0.500
0.334 0.666 0.000
0.666 0.334 0.000
0.334 0.666 0.500
0.666 0.334 0.500
0.166 0.834 0.241
0.166 0.834 0.759
0.500 0.500 0.243
0.500 0.500 0.757
0.834 0.166 0.241
0.834 0.166 0.759
```

Properties
As for the total magnetization: 3.35 Bohr magnetons per cell. The calculated formation energy is -0.53 kcal/mol of atoms.

Entry 10:
DFT (PBE) results for a geometry-optimized Ni2IrPt structure.

```
Ni2IrPt
1.0
2.685 0.000 0.000
0.000 2.685 0.000
0.000 0.000 7.246
Ni Ir Pt
2 1 1
direct
0.000 0.000 0.242
0.000 0.000 0.758
0.500 0.500 0.000
0.500 0.500 0.500
```

Properties
As for the total magnetization: 0.00 Bohr magnetons per cell. The energy above the lowest structure with this stoichiometry comes out at 0.00 kcal/mol of atoms. The calculated formation energy is -0.92 kcal/mol of atoms.

Entry 11:
DFT (PBE) results for a geometry-optimized NiIrPt4 structure.

```
NiIrPt4
1.0
0.000 3.667 3.667
3.667 0.000 3.667
3.667 3.667 0.000
Ni Ir Pt
1 1 4
direct
0.000 0.000 0.000
0.250 0.250 0.250
0.125 0.625 0.625
0.625 0.125 0.625
0.625 0.625 0.125
0.625 0.625 0.625
```

Properties
As for the total magnetization: 2.87 Bohr magnetons per cell. The energy above the lowest structure with this stoichiometry comes out at 8.98 kcal/mol of atoms. The calculated formation energy is 11.98 kcal/mol of atoms.

Entry 12:
DFT (PBE) results for a geometry-optimized Ni2IrPt structure.

```
Ni2IrPt
1.0
2.690 -3.603 0.000
2.690 3.603 0.000
0.000 0.000 2.694
Ni Ir Pt
2 1 1
direct
0.000 0.500 0.000
0.500 0.000 0.000
0.000 0.000 0.500
0.500 0.500 0.500
```

Properties
As for the total magnetization: 0.00 Bohr magnetons per cell. The energy above the lowest structure with this stoichiometry comes out at 0.87 kcal/mol of atoms. The calculated formation energy is -0.06 kcal/mol of atoms.